Below is an optimized crystal structure of AlCrFeO2, with properties calculated at the PBEsol level.

## Properties
crystal system: tetragonal
formation energy without anion corrections: -0.044 eV per atom

CIF file:
```
data_AlCrFeO2
_cell_length_a 3.5831
_cell_length_b 3.5831
_cell_length_c 4.9147
_cell_angle_alpha 90.00
_cell_angle_beta 90.00
_cell_angle_gamma 90.00
_symmetry_space_group_name_H-M 'P 4/m m m'
_symmetry_Int_Tables_number 123
_symmetry_space_group_name_Hall '-P 4 2'
loop_
_atom_site_label
_atom_site_type_symbol
_atom_site_fract_x
_atom_site_fract_y
_atom_site_fract_z
Al1 Al 0.0000 0.0000 0.0000
Cr1 Cr 0.5000 0.5000 0.0000
Fe1 Fe 0.5000 0.5000 0.5000
O1 O 0.0000 0.5000 0.5000
```

***

Below is an optimized crystal structure of AlHgP2Cl, with properties calculated at the PBEsol level.

## Properties
crystal system: tetragonal
formation energy without anion corrections: 0.947 eV per atom

CIF file:
```
data_AlHgP2Cl
_cell_length_a 4.8791
_cell_length_b 4.8791
_cell_length_c 5.5187
_cell_angle_alpha 90.00
_cell_angle_beta 90.00
_cell_angle_gamma 90.00
_symmetry_space_group_name_H-M 'P 4/m m m'
_symmetry_Int_Tables_number 123
_symmetry_space_group_name_Hall '-P 4 2'
loop_
_atom_site_label
_atom_site_type_symbol
_atom_site_fract_x
_atom_site_fract_y
_atom_site_fract_z
Al1 Al 0.0000 0.0000 0.0000
Hg1 Hg 0.5000 0.5000 0.5000
P1 P 0.0000 0.5000 0.5000
Cl1 Cl 0.5000 0.5000 0.0000
```

***

Below is an optimized crystal structure of KLiNd2Mo4O16, with properties calculated at the PBEsol level.

## Properties
crystal system: monoclinic
formation energy without anion corrections: -2.432 eV per atom

CIF file:
```
data_KLiNd2Mo4O16
_cell_length_a 5.2693
_cell_length_b 12.7784
_cell_length_c 19.4545
_cell_angle_alpha 90.00
_cell_angle_beta 93.42
_cell_angle_gamma 90.00
_symmetry_space_group_name_H-M 'C 1 2/c 1'
_symmetry_Int_Tables_number 15
loop_
_symmetry_equiv_pos_as_xyz
'x,y,z'
'-x,-y,-z'
'-x,y,-z+1/2'
'x,-y,z+1/2'
'x+1/2,y+1/2,z'
'-x+1/2,-y+1/2,-z'
'-x+1/2,y+1/2,-z+1/2'
'x+1/2,-y+1/2,z+1/2'
loop_
_atom_site_label
_atom_site_type_symbol
_atom_site_fract_x
_atom_site_fract_y
_atom_site_fract_z
K1 K 0.0000 0.0354 0.2500
Li1 Li 0.0000 0.3145 0.2500
Nd1 Nd 0.9997 0.1465 0.0338
Mo1 Mo 0.0098 0.2520 0.6504
Mo2 Mo 0.0170 0.4377 0.0939
O1 O 0.1120 0.4075 0.3287
O2 O 0.1325 0.1345 0.8274
O3 O 0.1539 0.3325 0.0440
O4 O 0.1697 0.2380 0.5695
O5 O 0.2236 0.4549 0.6038
O6 O 0.2308 0.2901 0.7154
O7 O 0.2383 0.3452 0.8639
O8 O 0.2466 0.0189 0.5392
```

***

Below is an optimized crystal structure of LiPb2, with properties calculated at the PBEsol level.

## Properties
crystal system: orthorhombic
formation energy: -14.9 kJ per mole of atoms
E above lowest polymorph: 0.98 kJ per mole of atoms

CIF file:
```
data_LiPb2
_cell_length_a 4.3619
_cell_length_b 14.4633
_cell_length_c 4.8748
_cell_angle_alpha 90.00
_cell_angle_beta 90.00
_cell_angle_gamma 90.00
_symmetry_space_group_name_H-M 'C m c m'
_symmetry_Int_Tables_number 63
_symmetry_space_group_name_Hall '-C 2c 2'
loop_
_atom_site_label
_atom_site_type_symbol
_atom_site_fract_x
_atom_site_fract_y
_atom_site_fract_z
Li1 Li 0.0000 0.0842 0.2500
Pb1 Pb 0.0000 0.2506 0.7500
Pb2 Pb 0.0000 0.4258 0.2500
```

***

Below is an optimized crystal structure of TlCd2, with properties calculated at the PBEsol level.

## Properties
crystal system: trigonal
formation energy: 5.6 kJ per mole of atoms

CIF file:
```
data_TlCd2
_cell_length_a 3.2383
_cell_length_b 3.2383
_cell_length_c 7.7381
_cell_angle_alpha 90.00
_cell_angle_beta 90.00
_cell_angle_gamma 120.00
_symmetry_space_group_name_H-M 'P -3 m 1'
_symmetry_Int_Tables_number 164
_symmetry_space_group_name_Hall '-P 3 2"'
loop_
_atom_site_label
_atom_site_type_symbol
_atom_site_fract_x
_atom_site_fract_y
_atom_site_fract_z
Tl1 Tl 0.0000 0.0000 0.0000
Cd1 Cd 0.3333 0.6667 0.6547
```

***

Below is an optimized crystal structure of CaZnTc, with properties calculated at the PBEsol level.

## Properties
crystal system: trigonal
formation energy: 57.0 kJ per mole of atoms
E above lowest polymorph: 23.70 kJ per mole of atoms

CIF file:
```
data_CaZnTc
_cell_length_a 2.9298
_cell_length_b 2.9298
_cell_length_c 7.1165
_cell_angle_alpha 90.00
_cell_angle_beta 90.00
_cell_angle_gamma 120.00
_symmetry_space_group_name_H-M 'P 3 m 1'
_symmetry_Int_Tables_number 156
loop_
_symmetry_equiv_pos_as_xyz
'x,y,z'
'-y,x-y,z'
'-x+y,-x,z'
'-y,-x,z'
'-x+y,y,z'
'x,x-y,z'
loop_
_atom_site_label
_atom_site_type_symbol
_atom_site_fract_x
_atom_site_fract_y
_atom_site_fract_z
Ca1 Ca 0.0000 0.0000 0.0000
Zn1 Zn 0.6667 0.3333 0.3670
Tc1 Tc 0.3333 0.6667 0.6574
```

***

Number 1: total magnetization 5.3 μB/f.u.. Number 2: total magnetization 1.7 μB/f.u.. Number 3: total magnetization 0.0 μB/f.u.. Number 4: total magnetization 0.0 μB/f.u.. Number 5: total magnetization 0.0 μB/f.u.. Number 6: total magnetization 0.0 μB/f.u..